1.
# TaGaPb

A relaxed structure of TaGaPb (PBE, Alexandria).

a b c (Å): 5.553 5.599 7.982
angles (deg): 90.00 90.00 90.00
Sites, in units of the cell vectors:
1 Ta 0.000 0.000 0.000
2 Ta 0.000 0.500 0.000
3 Ta 0.500 0.000 0.500
4 Ta 0.500 0.500 0.500
5 Ga 0.250 0.250 0.250
6 Ga 0.250 0.750 0.750
7 Ga 0.750 0.250 0.250
8 Ga 0.750 0.750 0.750
9 Pb 0.000 0.250 0.634
10 Pb 0.000 0.750 0.366
11 Pb 0.500 0.250 0.866
12 Pb 0.500 0.750 0.134

Calculated values
Calculated total energy   -18.031 eV/f.u.
Spin magnetization   0.000 μB/atom
DFT formation energy   0.6 eV/f.u.
SG   Imma (74)
Density of states at the Fermi level   1.09 states/eV/f.u.


2.
# Tm3Ag3IrO8

A relaxed structure of Tm3Ag3IrO8 (PBE, Alexandria).

a b c (Å): 6.646 6.646 6.965
angles (deg): 118.59 118.59 60.01
Sites, in units of the cell vectors:
1 Tm 0.000 0.000 0.000
2 Tm 0.000 0.500 0.000
3 Tm 0.500 0.000 0.000
4 Ag 0.000 0.500 0.500
5 Ag 0.500 0.000 0.500
6 Ag 0.500 0.500 0.500
7 Ir 0.500 0.500 0.000
8 O 0.227 0.227 0.181
9 O 0.256 0.716 0.188
10 O 0.284 0.284 0.813
11 O 0.284 0.744 0.812
12 O 0.716 0.256 0.188
13 O 0.716 0.716 0.187
14 O 0.744 0.284 0.812
15 O 0.773 0.773 0.819

Calculated values
Calculated total energy   -98.024 eV/f.u.
Spin magnetization   0.071 μB/atom
Formation energy without anion corrections   -27.53 eV per formula unit
SG   C2/m (12)
Density of states at the Fermi level   7.65 states/eV/f.u.


3.
# Mg4InSn3

A relaxed structure of Mg4InSn3 (PBE, Alexandria).

a b c (Å): 4.226 4.785 9.439
angles (deg): 90.00 90.00 90.00
Sites, in units of the cell vectors:
1 Mg 0.000 0.000 0.000
2 Mg 0.000 0.000 0.500
3 Mg 0.000 0.500 0.249
4 Mg 0.000 0.500 0.751
5 In 0.500 0.500 0.500
6 Sn 0.500 0.000 0.250
7 Sn 0.500 0.000 0.750
8 Sn 0.500 0.500 0.000

Calculated values
Calculated total energy   -22.043 eV/f.u.
Spin magnetization   0.000 μB/atom
DFT formation energy   -0.9 eV/f.u.
SG   Pmmm (47)
Density of states at the Fermi level   2.95 states/eV/f.u.


4.
# Y6Cd5In

A relaxed structure of Y6Cd5In (PBE, Alexandria).

a b c (Å): 5.298 7.519 8.388
angles (deg): 90.00 108.26 90.00
Sites, in units of the cell vectors:
1 Y 0.000 0.249 0.000
2 Y 0.000 0.751 0.000
3 Y 0.333 0.249 0.666
4 Y 0.333 0.751 0.666
5 Y 0.667 0.249 0.334
6 Y 0.667 0.751 0.334
7 Cd 0.167 0.000 0.333
8 Cd 0.169 0.500 0.338
9 Cd 0.500 0.000 0.000
10 Cd 0.831 0.500 0.662
11 Cd 0.833 0.000 0.667
12 In 0.500 0.500 0.000

Calculated values
Calculated total energy   -50.742 eV/f.u.
Spin magnetization   0.000 μB/atom
DFT formation energy   -4.6 eV/f.u.
SG   P2/m (10)
Density of states at the Fermi level   11.72 states/eV/f.u.


5.
# Ba2SbO

A relaxed structure of Ba2SbO (PBE, Alexandria).

a b c (Å): 8.014 8.014 8.014
angles (deg): 90.00 90.00 90.00
Sites, in units of the cell vectors:
1 Ba 0.250 0.250 0.250
2 Ba 0.250 0.250 0.750
3 Ba 0.250 0.750 0.250
4 Ba 0.250 0.750 0.750
5 Ba 0.750 0.250 0.250
6 Ba 0.750 0.250 0.750
7 Ba 0.750 0.750 0.250
8 Ba 0.750 0.750 0.750
9 Sb 0.000 0.000 0.000
10 Sb 0.000 0.500 0.500
11 Sb 0.500 0.000 0.500
12 Sb 0.500 0.500 0.000
13 O 0.000 0.000 0.500
14 O 0.000 0.500 0.000
15 O 0.500 0.000 0.000
16 O 0.500 0.500 0.500

Calculated values
Calculated total energy   -16.663 eV/f.u.
Spin magnetization   0.250 μB/atom
Formation energy without anion corrections   -3.74 eV per formula unit
SG   Fm-3m (225)
Density of states at the Fermi level   8.82 states/eV/f.u.


6.
# TbPr6Y3Er2

A relaxed structure of TbPr6Y3Er2 (PBE, Alexandria).

a b c (Å): 6.315 6.315 11.896
angles (deg): 95.07 95.07 120.00
Sites, in units of the cell vectors:
1 Tb 0.000 0.000 0.000
2 Pr 0.083 0.417 0.249
3 Pr 0.250 0.250 0.752
4 Pr 0.417 0.083 0.249
5 Pr 0.583 0.917 0.751
6 Pr 0.750 0.750 0.248
7 Pr 0.917 0.583 0.751
8 Y 0.167 0.833 0.500
9 Y 0.500 0.500 0.500
10 Y 0.833 0.167 0.500
11 Er 0.333 0.667 0.000
12 Er 0.667 0.333 0.000

Calculated values
Calculated total energy   -61.711 eV/f.u.
Spin magnetization   0.000 μB/atom
DFT formation energy   0.1 eV/f.u.
SG   C2/m (12)
Density of states at the Fermi level   13.34 states/eV/f.u.


7.
# ErSc2H

A relaxed structure of ErSc2H (PBE, Alexandria).

a b c (Å): 3.134 3.134 8.050
angles (deg): 90.00 90.00 90.00
Sites, in units of the cell vectors:
1 Er 0.000 0.000 0.000
2 Sc 0.500 0.500 0.315
3 Sc 0.500 0.500 0.685
4 H 0.000 0.000 0.500

Calculated values
Calculated total energy   -19.949 eV/f.u.
Spin magnetization   0.000 μB/atom
SG   P4/mmm (123)
Density of states at the Fermi level   5.28 states/eV/f.u.


8.
# LiTaReS2

A relaxed structure of LiTaReS2 (PBE, Alexandria).

a b c (Å): 4.708 4.708 5.265
angles (deg): 90.00 90.00 90.00
Sites, in units of the cell vectors:
1 Li 0.000 0.000 0.000
2 Ta 0.000 0.000 0.500
3 Re 0.500 0.500 0.000
4 S 0.000 0.500 0.500
5 S 0.500 0.000 0.500

Calculated values
Calculated total energy   -28.860 eV/f.u.
Spin magnetization   0.979 μB/atom
Formation energy without anion corrections   5.61 eV per formula unit
SG   P4/mmm (123)
Density of states at the Fermi level   1.90 states/eV/f.u.


9.
# PRhCl2

A relaxed structure of PRhCl2 (PBE, Alexandria).

a b c (Å): 3.443 3.443 24.393
angles (deg): 90.00 90.00 120.00
Sites, in units of the cell vectors:
1 P 0.000 0.000 0.000
2 P 0.333 0.667 0.667
3 P 0.667 0.333 0.333
4 Rh 0.000 0.000 0.289
5 Rh 0.333 0.667 0.956
6 Rh 0.667 0.333 0.622
7 Cl 0.000 0.000 0.555
8 Cl 0.000 0.000 0.744
9 Cl 0.333 0.667 0.222
10 Cl 0.333 0.667 0.411
11 Cl 0.667 0.333 0.078
12 Cl 0.667 0.333 0.888

Calculated values
Calculated total energy   -17.856 eV/f.u.
Spin magnetization   0.000 μB/atom
Formation energy without anion corrections   -1.40 eV per formula unit
SG   R3m (160)


10.
# Sm7Y4Mg

A relaxed structure of Sm7Y4Mg (PBE, Alexandria).

a b c (Å): 6.414 6.414 13.203
angles (deg): 110.65 110.65 53.68
Sites, in units of the cell vectors:
1 Sm 0.000 0.000 0.000
2 Sm 0.211 0.211 0.912
3 Sm 0.340 0.340 0.466
4 Sm 0.351 0.351 0.732
5 Sm 0.649 0.649 0.268
6 Sm 0.660 0.660 0.534
7 Sm 0.789 0.789 0.088
8 Y 0.003 0.003 0.635
9 Y 0.316 0.316 0.205
10 Y 0.684 0.684 0.795
11 Y 0.997 0.997 0.365
12 Mg 0.500 0.500 0.000

Calculated values
Calculated total energy   -57.601 eV/f.u.
Spin magnetization   0.000 μB/atom
DFT formation energy   2.9 eV/f.u.
SG   C2/m (12)
Density of states at the Fermi level   18.07 states/eV/f.u.


11.
# Sm2GaAg6

A relaxed structure of Sm2GaAg6 (PBE, Alexandria).

a b c (Å): 6.098 6.098 5.936
angles (deg): 90.05 90.05 59.92
Sites, in units of the cell vectors:
1 Sm 0.166 0.166 0.153
2 Sm 0.834 0.834 0.847
3 Ga 0.500 0.500 0.000
4 Ag 0.144 0.678 0.322
5 Ag 0.322 0.322 0.678
6 Ag 0.322 0.856 0.678
7 Ag 0.678 0.144 0.322
8 Ag 0.678 0.678 0.322
9 Ag 0.856 0.322 0.678

Calculated values
Calculated total energy   -31.440 eV/f.u.
Spin magnetization   0.000 μB/atom
DFT formation energy   -1.9 eV/f.u.
SG   C2/m (12)
Density of states at the Fermi level   5.54 states/eV/f.u.


12.
# Y3VAg3Se8

A relaxed structure of Y3VAg3Se8 (PBE, Alexandria).

a b c (Å): 8.090 8.090 8.149
angles (deg): 119.94 119.94 59.99
Sites, in units of the cell vectors:
1 Y 0.000 0.000 0.000
2 Y 0.000 0.500 0.000
3 Y 0.500 0.000 0.000
4 V 0.500 0.500 0.000
5 Ag 0.000 0.500 0.500
6 Ag 0.500 0.000 0.500
7 Ag 0.500 0.500 0.500
8 Se 0.250 0.250 0.249
9 Se 0.273 0.273 0.773
10 Se 0.273 0.727 0.227
11 Se 0.273 0.727 0.773
12 Se 0.727 0.273 0.227
13 Se 0.727 0.273 0.773
14 Se 0.727 0.727 0.227
15 Se 0.750 0.750 0.751

Calculated values
Calculated total energy   -80.033 eV/f.u.
Spin magnetization   0.075 μB/atom
Formation energy without anion corrections   -15.09 eV per formula unit
SG   C2/m (12)
Density of states at the Fermi level   8.38 states/eV/f.u.


13.
# SrNd2RhO5

A relaxed structure of SrNd2RhO5 (PBE, Alexandria).

a b c (Å): 6.773 6.773 5.878
angles (deg): 90.00 90.00 90.00
Sites, in units of the cell vectors:
1 Sr 0.000 0.000 0.000
2 Sr 0.500 0.500 0.000
3 Nd 0.173 0.327 0.500
4 Nd 0.327 0.827 0.500
5 Nd 0.673 0.173 0.500
6 Nd 0.827 0.673 0.500
7 Rh 0.000 0.500 0.000
8 Rh 0.500 0.000 0.000
9 O 0.000 0.000 0.500
10 O 0.143 0.643 0.248
11 O 0.143 0.643 0.752
12 O 0.357 0.143 0.248
13 O 0.357 0.143 0.752
14 O 0.500 0.500 0.500
15 O 0.643 0.857 0.248
16 O 0.643 0.857 0.752
17 O 0.857 0.357 0.248
18 O 0.857 0.357 0.752

Calculated values
Calculated total energy   -66.047 eV/f.u.
Spin magnetization   0.114 μB/atom
Formation energy without anion corrections   -22.69 eV per formula unit
SG   P4/mbm (127)
Density of states at the Fermi level   6.61 states/eV/f.u.


14.
# ThAlZn6Ga

A relaxed structure of ThAlZn6Ga (PBE, Alexandria).

a b c (Å): 8.855 8.855 8.855
angles (deg): 144.56 109.66 81.31
Sites, in units of the cell vectors:
1 Th 0.436 0.186 0.250
2 Th 0.564 0.814 0.750
3 Al 0.000 0.000 0.500
4 Al 0.000 0.500 0.000
5 Zn 0.130 0.396 0.217
6 Zn 0.130 0.913 0.733
7 Zn 0.193 0.943 0.250
8 Zn 0.315 0.565 0.750
9 Zn 0.321 0.087 0.717
10 Zn 0.321 0.604 0.233
11 Zn 0.679 0.396 0.767
12 Zn 0.679 0.913 0.283
13 Zn 0.685 0.435 0.250
14 Zn 0.807 0.057 0.750
15 Zn 0.870 0.087 0.267
16 Zn 0.870 0.604 0.783
17 Ga 0.000 0.500 0.500
18 Ga 0.500 0.500 0.000

Calculated values
Calculated total energy   -20.068 eV/f.u.
Spin magnetization   0.000 μB/atom
DFT formation energy   1.8 eV/f.u.
SG   Imma (74)
Density of states at the Fermi level   5.91 states/eV/f.u.


15.
# NaSrReN2

A relaxed structure of NaSrReN2 (PBE, Alexandria).

a b c (Å): 4.723 4.723 5.367
angles (deg): 90.00 90.00 90.00
Sites, in units of the cell vectors:
1 Na 0.000 0.000 0.000
2 Sr 0.000 0.000 0.500
3 Re 0.500 0.500 0.000
4 N 0.000 0.500 0.500
5 N 0.500 0.000 0.500

Calculated values
Calculated total energy   -19.636 eV/f.u.
Spin magnetization   0.369 μB/atom
Formation energy without anion corrections   12.46 eV per formula unit
SG   P4/mmm (123)
Density of states at the Fermi level   4.12 states/eV/f.u.


16.
# PmCuRhAu

A relaxed structure of PmCuRhAu (PBE, Alexandria).

a b c (Å): 6.677 6.677 6.677
angles (deg): 90.00 90.00 90.00
Sites, in units of the cell vectors:
1 Pm 0.000 0.000 0.000
2 Pm 0.000 0.500 0.500
3 Pm 0.500 0.000 0.500
4 Pm 0.500 0.500 0.000
5 Cu 0.250 0.250 0.750
6 Cu 0.250 0.750 0.250
7 Cu 0.750 0.250 0.250
8 Cu 0.750 0.750 0.750
9 Rh 0.250 0.250 0.250
10 Rh 0.250 0.750 0.750
11 Rh 0.750 0.250 0.750
12 Rh 0.750 0.750 0.250
13 Au 0.000 0.000 0.500
14 Au 0.000 0.500 0.000
15 Au 0.500 0.000 0.000
16 Au 0.500 0.500 0.500

Calculated values
Calculated total energy   -20.696 eV/f.u.
Spin magnetization   0.000 μB/atom
DFT formation energy   -1.2 eV/f.u.
SG   F-43m (216)
Density of states at the Fermi level   2.36 states/eV/f.u.


17.
# InAsO2F

A relaxed structure of InAsO2F (PBE, Alexandria).

a b c (Å): 3.913 3.913 4.262
angles (deg): 90.00 90.00 90.00
Sites, in units of the cell vectors:
1 In 0.000 0.000 0.000
2 As 0.500 0.500 0.500
3 O 0.000 0.500 0.500
4 O 0.500 0.000 0.500
5 F 0.500 0.500 0.000

Calculated values
Calculated total energy   -23.924 eV/f.u.
Spin magnetization   0.000 μB/atom
Formation energy without anion corrections   -4.75 eV per formula unit
SG   P4/mmm (123)
Density of states at the Fermi level   2.70 states/eV/f.u.


18.
# In3IrCl

A relaxed structure of In3IrCl (PBE, Alexandria).

a b c (Å): 9.847 9.847 9.847
angles (deg): 146.40 146.40 48.26
Sites, in units of the cell vectors:
1 In 0.225 0.225 0.000
2 In 0.359 0.617 0.742
3 In 0.383 0.125 0.742
4 In 0.383 0.641 0.258
5 In 0.775 0.775 0.000
6 In 0.875 0.617 0.258
7 Ir 0.250 0.750 0.500
8 Ir 0.500 0.500 0.000
9 Cl 0.650 0.150 0.500
10 Cl 0.850 0.350 0.500

Calculated values
Calculated total energy   -19.204 eV/f.u.
Spin magnetization   0.000 μB/atom
Formation energy without anion corrections   -0.28 eV per formula unit
SG   I-4m2 (119)
Density of states at the Fermi level   0.51 states/eV/f.u.


19.
# TlZnF3

A relaxed structure of TlZnF3 (PBE, Alexandria).

a b c (Å): 6.650 6.650 6.650
angles (deg): 51.03 51.03 51.03
Sites, in units of the cell vectors:
1 Tl 0.124 0.124 0.124
2 Tl 0.876 0.876 0.876
3 Zn 0.338 0.338 0.338
4 Zn 0.662 0.662 0.662
5 F 0.066 0.577 0.577
6 F 0.423 0.423 0.934
7 F 0.423 0.934 0.423
8 F 0.577 0.066 0.577
9 F 0.577 0.577 0.066
10 F 0.934 0.423 0.423

Calculated values
Calculated total energy   -19.639 eV/f.u.
Spin magnetization   0.000 μB/atom
Formation energy without anion corrections   -10.38 eV per formula unit
SG   R-3m (166)
Density of states at the Fermi level   0.00 states/eV/f.u.


20.
# Li3SiSe

A relaxed structure of Li3SiSe (PBE, Alexandria).

a b c (Å): 4.729 4.729 4.729
angles (deg): 90.00 90.00 90.00
Sites, in units of the cell vectors:
1 Li 0.000 0.000 0.500
2 Li 0.000 0.500 0.000
3 Li 0.500 0.000 0.000
4 Si 0.500 0.500 0.500
5 Se 0.000 0.000 0.000

Calculated values
Calculated total energy   -15.629 eV/f.u.
Spin magnetization   0.000 μB/atom
Formation energy without anion corrections   -0.98 eV per formula unit
SG   Pm-3m (221)
Density of states at the Fermi level   3.07 states/eV/f.u.


21.
# KCa2As

A relaxed structure of KCa2As (PBE, Alexandria).

a b c (Å): 3.817 3.818 10.514
angles (deg): 90.00 90.16 90.00
Sites, in units of the cell vectors:
1 K 0.000 0.000 0.000
2 Ca 0.497 0.500 0.645
3 Ca 0.503 0.500 0.355
4 As 0.000 0.000 0.500

Calculated values
Calculated total energy   -11.657 eV/f.u.
Spin magnetization   0.000 μB/atom
DFT formation energy   -1.9 eV/f.u.
SG   P2/m (10)
Density of states at the Fermi level   3.11 states/eV/f.u.


22.
# PmPrSm

A relaxed structure of PmPrSm (PBE, Alexandria).

a b c (Å): 6.388 3.683 9.169
angles (deg): 90.00 103.60 90.00
Sites, in units of the cell vectors:
1 Pm 0.000 0.000 0.000
2 Pm 0.500 0.500 0.000
3 Pr 0.060 0.500 0.661
4 Pr 0.560 0.000 0.661
5 Sm 0.279 0.500 0.327
6 Sm 0.779 0.000 0.327

Calculated values
Calculated total energy   -14.206 eV/f.u.
Spin magnetization   0.000 μB/atom
DFT formation energy   0.0 eV/f.u.
SG   Cm (8)
Density of states at the Fermi level   4.02 states/eV/f.u.


23.
# Li4NpCl8

A relaxed structure of Li4NpCl8 (PBE, Alexandria).

a b c (Å): 7.856 7.856 7.856
angles (deg): 60.00 60.00 60.00
Sites, in units of the cell vectors:
1 Li 0.094 0.094 0.094
2 Li 0.094 0.094 0.717
3 Li 0.094 0.717 0.094
4 Li 0.717 0.094 0.094
5 Np 0.500 0.500 0.500
6 Cl 0.347 0.884 0.884
7 Cl 0.369 0.369 0.369
8 Cl 0.369 0.369 0.892
9 Cl 0.369 0.892 0.369
10 Cl 0.884 0.347 0.884
11 Cl 0.884 0.884 0.347
12 Cl 0.884 0.884 0.884
13 Cl 0.892 0.369 0.369

Calculated values
Calculated total energy   -55.207 eV/f.u.
Spin magnetization   0.225 μB/atom
Formation energy without anion corrections   -19.84 eV per formula unit
SG   F-43m (216)
Density of states at the Fermi level   21.84 states/eV/f.u.


Number 1: ρ 12.25 g/cm3. Number 2: ρ 8.60 g/cm3. Number 3: ρ 4.94 g/cm3. Number 4: ρ 6.33 g/cm3. Number 5: ρ 5.32 g/cm3. Number 6: ρ 6.59 g/cm3. Number 7: ρ 5.42 g/cm3. Number 8: ρ 6.24 g/cm3. Number 9: ρ 4.07 g/cm3. Number 10: ρ 5.92 g/cm3. Number 11: ρ 8.85 g/cm3. Number 12: ρ 5.60 g/cm3. Number 13: ρ 6.89 g/cm3. Number 14: ρ 6.48 g/cm3. Number 15: ρ 4.51 g/cm3. Number 16: ρ 11.34 g/cm3. Number 17: ρ 6.13 g/cm3. Number 18: ρ 6.52 g/cm3. Number 19: ρ 6.62 g/cm3. Number 20: ρ 2.01 g/cm3. Number 21: ρ 2.10 g/cm3. Number 22: ρ 6.91 g/cm3. Number 23: ρ 2.66 g/cm3.